Record 1
LaLuAgRu | PBE | relaxed

abc: 7.1307 7.1307 7.1307
angles: 90.00 90.00 90.00
Sites, in units of the cell vectors:
La1 0.0000 0.0000 0.0000
La2 0.0000 0.5000 0.5000
La3 0.5000 0.0000 0.5000
La4 0.5000 0.5000 0.0000
Lu1 0.0000 0.0000 0.5000
Lu2 0.0000 0.5000 0.0000
Lu3 0.5000 0.0000 0.0000
Lu4 0.5000 0.5000 0.5000
Ag1 0.2500 0.2500 0.2500
Ag2 0.2500 0.7500 0.7500
Ag3 0.7500 0.2500 0.7500
Ag4 0.7500 0.7500 0.2500
Ru1 0.2500 0.2500 0.7500
Ru2 0.2500 0.7500 0.2500
Ru3 0.7500 0.2500 0.2500
Ru4 0.7500 0.7500 0.7500

Computed properties:
- Total moment: 0.00 μB per cell
- ΔE_f: -0.2622 eV/atom

Record 2
LaLuSiAg | PBE | relaxed

abc: 7.2736 7.2736 7.2736
angles: 90.00 90.00 90.00
Sites, in units of the cell vectors:
La1 0.0000 0.0000 0.0000
La2 0.0000 0.5000 0.5000
La3 0.5000 0.0000 0.5000
La4 0.5000 0.5000 0.0000
Lu1 0.0000 0.0000 0.5000
Lu2 0.0000 0.5000 0.0000
Lu3 0.5000 0.0000 0.0000
Lu4 0.5000 0.5000 0.5000
Si1 0.2500 0.2500 0.2500
Si2 0.2500 0.7500 0.7500
Si3 0.7500 0.2500 0.7500
Si4 0.7500 0.7500 0.2500
Ag1 0.2500 0.2500 0.7500
Ag2 0.2500 0.7500 0.2500
Ag3 0.7500 0.2500 0.2500
Ag4 0.7500 0.7500 0.7500

Computed properties:
- Total moment: 0.00 μB per cell
- Energy relative to the elements, uncorrected: -404 meV per atom

Record 3
LaLuAgSn | PBE | relaxed

abc: 7.5474 7.5474 7.5474
angles: 90.00 90.00 90.00
Sites, in units of the cell vectors:
La1 0.0000 0.0000 0.0000
La2 0.0000 0.5000 0.5000
La3 0.5000 0.0000 0.5000
La4 0.5000 0.5000 0.0000
Lu1 0.0000 0.0000 0.5000
Lu2 0.0000 0.5000 0.0000
Lu3 0.5000 0.0000 0.0000
Lu4 0.5000 0.5000 0.5000
Ag1 0.2500 0.2500 0.2500
Ag2 0.2500 0.7500 0.7500
Ag3 0.7500 0.2500 0.7500
Ag4 0.7500 0.7500 0.2500
Sn1 0.2500 0.2500 0.7500
Sn2 0.2500 0.7500 0.2500
Sn3 0.7500 0.2500 0.2500
Sn4 0.7500 0.7500 0.7500

Computed properties:
- Total moment: 0.02 μB per cell
- ΔE_f: -0.4854 eV/atom

Record 4
LaTbLuAg | PBE | relaxed

abc: 7.7089 7.7089 7.7089
angles: 90.00 90.00 90.00
Sites, in units of the cell vectors:
La1 0.0000 0.0000 0.0000
La2 0.0000 0.5000 0.5000
La3 0.5000 0.0000 0.5000
La4 0.5000 0.5000 0.0000
Tb1 0.0000 0.0000 0.5000
Tb2 0.0000 0.5000 0.0000
Tb3 0.5000 0.0000 0.0000
Tb4 0.5000 0.5000 0.5000
Lu1 0.2500 0.2500 0.7500
Lu2 0.2500 0.7500 0.2500
Lu3 0.7500 0.2500 0.2500
Lu4 0.7500 0.7500 0.7500
Ag1 0.2500 0.2500 0.2500
Ag2 0.2500 0.7500 0.7500
Ag3 0.7500 0.2500 0.7500
Ag4 0.7500 0.7500 0.2500

Computed properties:
- Total moment: 0.00 μB per cell
- ΔE_f: 0.0414 eV/atom

Record 5
LaYLuAg | PBE | relaxed

abc: 7.7194 7.7194 7.7194
angles: 90.00 90.00 90.00
Sites, in units of the cell vectors:
La1 0.0000 0.0000 0.0000
La2 0.0000 0.5000 0.5000
La3 0.5000 0.0000 0.5000
La4 0.5000 0.5000 0.0000
Y1 0.0000 0.0000 0.5000
Y2 0.0000 0.5000 0.0000
Y3 0.5000 0.0000 0.0000
Y4 0.5000 0.5000 0.5000
Lu1 0.2500 0.2500 0.7500
Lu2 0.2500 0.7500 0.2500
Lu3 0.7500 0.2500 0.2500
Lu4 0.7500 0.7500 0.7500
Ag1 0.2500 0.2500 0.2500
Ag2 0.2500 0.7500 0.7500
Ag3 0.7500 0.2500 0.7500
Ag4 0.7500 0.7500 0.2500

Computed properties:
- Total moment: 0.00 μB per cell
- ΔE_f: 0.0421 eV/atom

Record 6
LaMg3Ag | PBE | relaxed

abc: 5.1192 5.1192 5.1192
angles: 90.00 90.00 90.00
Sites, in units of the cell vectors:
La1 0.0000 0.0000 0.0000
Mg1 0.0000 0.5000 0.5000
Mg2 0.5000 0.0000 0.5000
Mg3 0.5000 0.5000 0.0000
Ag1 0.5000 0.5000 0.5000

Computed properties:
- Total moment: 0.00 μB per cell
- ΔE_f: -0.0347 eV/atom